1.
## Zn2Cd2Hg (PBEsol)

Data for a geometry-optimized Zn2Cd2Hg structure.

Structure (extended XYZ):
```
10
Lattice="8.2968 0.0000 0.0000 0.0000 8.2968 0.0000 0.0000 0.0000 2.8289" Properties=species:S:1:pos:R:3 pbc="T T T"
Zn 0.9441 3.2043 0.0000
Zn 3.2043 7.3527 0.0000
Zn 5.0925 0.9441 0.0000
Zn 7.3527 5.0925 0.0000
Cd 1.5147 5.6631 1.4145
Cd 2.6337 1.5147 1.4145
Cd 5.6631 6.7822 1.4145
Cd 6.7822 2.6337 1.4145
Hg 0.0000 0.0000 1.4145
Hg 4.1484 4.1484 1.4145
```

Results
Electronic total energy, eV per atom: -1.142
Space group: P4/mbm (127)
N(E_F), states/eV per atom: 0.351
Polymorph energy (0 for the lowest one), eV per atom: 0.000

2.
## ZnCdHg2 (PBEsol)

Data for a geometry-optimized ZnCdHg2 structure.

Structure (extended XYZ):
```
4
Lattice="-1.4498 2.3249 6.1841 1.4498 -2.3249 6.1841 1.4498 2.3249 -6.1841" Properties=species:S:1:pos:R:3 pbc="T T T"
Zn 0.0000 0.0000 0.0000
Cd 1.4498 0.0000 2.4782
Hg 0.0000 0.0000 6.1507
Hg 0.0000 2.3249 3.6607
```

Results
Electronic total energy, eV per atom: -0.942
Space group: Imm2 (44)
N(E_F), states/eV per atom: 0.281
Polymorph energy (0 for the lowest one), eV per atom: 0.004

3.
## ZnCd2Hg (PBEsol)

Data for a geometry-optimized ZnCd2Hg structure.

Structure (extended XYZ):
```
4
Lattice="4.2987 0.0000 0.0000 0.0000 4.2987 0.0000 0.0000 0.0000 4.2687" Properties=species:S:1:pos:R:3 pbc="T T T"
Zn 0.0000 0.0000 0.0000
Cd 0.0000 2.1493 2.1343
Cd 2.1493 0.0000 2.1343
Hg 2.1493 2.1493 0.0000
```

Results
Electronic total energy, eV per atom: -1.078
Space group: P4/mmm (123)
N(E_F), states/eV per atom: 0.321
Polymorph energy (0 for the lowest one), eV per atom: 0.013

4.
## Zn2CdHg (PBEsol)

Data for a geometry-optimized Zn2CdHg structure.

Structure (extended XYZ):
```
4
Lattice="4.4361 -1.8248 0.0000 4.4361 1.8248 0.0000 -0.9699 0.0000 4.5330" Properties=species:S:1:pos:R:3 pbc="T T T"
Zn 0.0000 0.0000 0.0000
Zn 6.4006 0.0000 1.0238
Cd 3.9438 0.0000 2.1121
Hg 1.4886 0.0000 3.4374
```

Results
Electronic total energy, eV per atom: -1.167
Space group: Cm (8)
N(E_F), states/eV per atom: 0.283
Polymorph energy (0 for the lowest one), eV per atom: 0.000

5.
## ZnCd2Hg (PBEsol)

Data for a geometry-optimized ZnCd2Hg structure.

Structure (extended XYZ):
```
4
Lattice="3.1075 0.0000 0.0000 0.0000 4.2146 0.0000 0.0000 0.0000 5.9871" Properties=species:S:1:pos:R:3 pbc="T T T"
Zn 0.0000 0.0000 0.0000
Cd 1.5538 2.1073 1.4298
Cd 1.5538 2.1073 4.5572
Hg 0.0000 0.0000 2.9935
```

Results
Electronic total energy, eV per atom: -1.079
Space group: Pmmm (47)
N(E_F), states/eV per atom: 0.327
Polymorph energy (0 for the lowest one), eV per atom: 0.013

6.
## ZnCd2Hg (PBEsol)

Data for a geometry-optimized ZnCd2Hg structure.

Structure (extended XYZ):
```
4
Lattice="3.3632 0.0000 0.0000 0.0000 4.4322 0.0000 -0.9736 0.0000 5.3465" Properties=species:S:1:pos:R:3 pbc="T T T"
Zn 0.0000 0.0000 0.0000
Cd 0.5462 0.0000 2.7024
Cd 1.5954 2.2161 0.9336
Hg 2.2045 2.2161 3.7814
```

Results
Electronic total energy, eV per atom: -1.084
Space group: Pm (6)
N(E_F), states/eV per atom: 0.245
Polymorph energy (0 for the lowest one), eV per atom: 0.007

7.
## ZnCdHg2 (PBEsol)

Data for a geometry-optimized ZnCdHg2 structure.

Structure (extended XYZ):
```
4
Lattice="-2.1747 2.1747 4.2389 2.1747 -2.1747 4.2389 2.1747 2.1747 -4.2389" Properties=species:S:1:pos:R:3 pbc="T T T"
Zn 0.0000 0.0000 0.0000
Cd 0.0000 0.0000 4.2389
Hg 2.1747 0.0000 2.1195
Hg 0.0000 2.1747 2.1195
```

Results
Electronic total energy, eV per atom: -0.909
Space group: I4/mmm (139)
N(E_F), states/eV per atom: 0.344
Polymorph energy (0 for the lowest one), eV per atom: 0.037

8.
## ZnCd2Hg (PBEsol)

Data for a geometry-optimized ZnCd2Hg structure.

Structure (extended XYZ):
```
8
Lattice="-2.0993 2.0993 9.6598 2.0993 -2.0993 9.6598 2.0993 2.0993 -9.6598" Properties=species:S:1:pos:R:3 pbc="T T T"
Zn 0.0000 0.0000 0.0000
Zn 0.0000 2.0993 4.8299
Cd 3.1489 0.9947 -2.4149
Cd 0.9947 1.0496 2.4149
Cd -1.0496 1.1046 7.2448
Cd 1.1046 1.0496 12.0747
Hg 2.0993 0.0000 4.8299
Hg 0.0000 0.0000 9.6598
```

Results
Electronic total energy, eV per atom: -1.036
Space group: I-42d (122)
N(E_F), states/eV per atom: 0.379
Polymorph energy (0 for the lowest one), eV per atom: 0.056

Q: Look up the polymorph energy (0 for the lowest one) of the fifth one.
A: 0.013 eV per atom